Entry 1:
Compound: Mg2TeSBr
Source: Alexandria via LeMat-Bulk
Functional: meta-GGA SCAN
Structure: single point on PBEsol structure

Crystal system: tetragonal
Total moment: 0.890 Bohr magnetons per cell
Formation energy without anion corrections: 0.57 eV per atom

a b c (Å): 5.266 5.266 5.374
angles (deg): 90.00 90.00 90.00
Space group P4/mmm (No. 123)
Asymmetric unit:
Mg  0.000  0.500  0.000
Te  0.000  0.000  0.500
S  0.500  0.500  0.500
Br  0.000  0.000  0.000

***

Entry 2:
Compound: MgSb2Br
Source: Alexandria via LeMat-Bulk
Functional: meta-GGA SCAN
Structure: single point on PBEsol structure

Crystal system: orthorhombic
Total moment: 0.000 Bohr magnetons per cell
Formation energy without anion corrections: 0.02 eV per atom

a b c (Å): 5.875 10.743 3.246
angles (deg): 90.00 90.00 90.00
Space group Cmmm (No. 65)
Asymmetric unit:
Mg  0.000  0.000  0.000
Sb  0.250  0.250  0.500
Br  0.000  0.500  0.000

***

Entry 3:
Compound: MgSnSbBr2
Source: Alexandria via LeMat-Bulk
Functional: meta-GGA SCAN
Structure: single point on PBEsol structure

Crystal system: tetragonal
Total moment: 2.767 Bohr magnetons per cell
Formation energy without anion corrections: 0.16 eV per atom

a b c (Å): 5.579 5.579 5.601
angles (deg): 90.00 90.00 90.00
Space group P4/mmm (No. 123)
Asymmetric unit:
Mg  0.000  0.000  0.000
Sn  0.000  0.000  0.500
Sb  0.500  0.500  0.000
Br  0.000  0.500  0.500

***

Entry 4:
Compound: MgScBr
Source: Alexandria via LeMat-Bulk
Functional: meta-GGA SCAN
Structure: single point on PBEsol structure

Crystal system: cubic
Total moment: 7.928 Bohr magnetons per cell
Formation energy without anion corrections: 0.18 eV per atom

a b c (Å): 6.929 6.929 6.929
angles (deg): 90.00 90.00 90.00
Space group F-43m (No. 216)
Asymmetric unit:
Mg  0.000  0.000  0.000
Sc  0.250  0.250  0.750
Br  0.000  0.000  0.500

***

Entry 5:
Compound: MgSeBr2
Source: Alexandria via LeMat-Bulk
Functional: meta-GGA SCAN
Structure: single point on PBEsol structure

Crystal system: tetragonal
Offset from the most stable computed form: 321 meV per atom
Total moment: 0.001 Bohr magnetons per cell
Formation energy without anion corrections: -0.49 eV per atom

a b c (Å): 3.222 3.222 10.296
angles (deg): 90.00 90.00 90.00
Space group P4/mmm (No. 123)
Asymmetric unit:
Mg  0.000  0.000  0.000
Se  0.000  0.000  0.500
Br  0.500  0.500  0.159

***

Entry 6:
Compound: Mg2SeBr
Source: Alexandria via LeMat-Bulk
Functional: meta-GGA SCAN
Structure: single point on PBEsol structure

Crystal system: cubic
Offset from the most stable computed form: 168 meV per atom
Total moment: 0.000 Bohr magnetons per cell
Formation energy without anion corrections: -0.69 eV per atom

a b c (Å): 6.901 6.901 6.901
angles (deg): 90.00 90.00 90.00
Space group Fm-3m (No. 225)
Asymmetric unit:
Mg  0.250  0.250  0.250
Se  0.000  0.000  0.000
Br  0.000  0.000  0.500

***

Entry 7:
Compound: MgSeBr2
Source: Alexandria via LeMat-Bulk
Functional: meta-GGA SCAN
Structure: single point on PBEsol structure

Crystal system: tetragonal
Offset from the most stable computed form: 74 meV per atom
Total moment: 0.000 Bohr magnetons per cell
Formation energy without anion corrections: -0.74 eV per atom

a b c (Å): 3.856 3.856 7.729
angles (deg): 90.00 90.00 90.00
Space group P4mm (No. 99)
Asymmetric unit:
Mg  0.000  0.000  0.000
Se  0.500  0.500  0.933
Br  0.000  0.000  0.306
Br  0.500  0.500  0.626

***

Entry 8:
Compound: MgSeBr2
Source: Alexandria via LeMat-Bulk
Functional: meta-GGA SCAN
Structure: single point on PBEsol structure

Crystal system: monoclinic
Offset from the most stable computed form: 0 meV per atom
Total moment: 0.000 Bohr magnetons per cell
Formation energy without anion corrections: -0.81 eV per atom

a b c (Å): 10.042 3.756 5.500
angles (deg): 90.00 102.96 90.00
Space group Cm (No. 8)
Asymmetric unit:
Mg  0.000  0.000  0.000
Se  0.131  0.500  0.303
Br  0.286  0.000  0.934
Br  0.473  0.000  0.574